Below is a relaxed structure of Ta3HRu, with properties calculated at the PBE-GGA level.

a = 4.147 Å, b = 4.147 Å, c = 4.147 Å
α = 90.00°, β = 90.00°, γ = 90.00°
Space group Pm-3m (No. 221)
Inequivalent atoms, fractional coordinates:
Ta1 0.000 0.000 0.500
H1 0.000 0.000 0.000
Ru1 0.500 0.500 0.500

Values from the calculation:
- total energy (eV per atom) = -9.624
- Fermi-level density of states (states/eV/cell) = 4.45
- total magnetic moment (μB/cell) = 0.0


Below is a relaxed structure of PmSmDyLu, with properties calculated at the PBE-GGA level.

a = 8.041 Å, b = 8.041 Å, c = 8.041 Å
α = 90.00°, β = 90.00°, γ = 90.00°
Space group F-43m (No. 216)
Inequivalent atoms, fractional coordinates:
Pm1 0.000 0.000 0.000
Sm1 0.000 0.000 0.500
Dy1 0.250 0.250 0.250
Lu1 0.250 0.250 0.750

Values from the calculation:
- Fermi-level density of states (states/eV/cell) = 27.91
- total magnetic moment (μB/cell) = 0.0
- E_form (meV per atom) = 111


Below is a relaxed structure of SiOsBr, with properties calculated at the PBE-GGA level.

a = 3.2288 Å, b = 3.2288 Å, c = 5.8673 Å
α = 90.00°, β = 90.00°, γ = 120.00°
Space group P3m1 (No. 156)
Inequivalent atoms, fractional coordinates:
Si1 0.0000 0.0000 0.0000
Os1 0.6667 0.3333 0.7600
Br1 0.3333 0.6667 0.3525

Values from the calculation:
- Fermi-level density of states (states/eV/cell) = 0.83
- total magnetic moment (μB/cell) = 0.0
- formation energy without anion corrections (kJ per mole of atoms) = 45.5


Below is a relaxed structure of CdRu, with properties calculated at the PBE-GGA level.

a = 6.452 Å, b = 6.452 Å, c = 6.452 Å
α = 90.00°, β = 90.00°, γ = 90.00°
Space group Fd-3m (No. 227, origin choice 2)
Inequivalent atoms, fractional coordinates:
Cd1 0.125 0.125 0.125
Ru1 0.125 0.125 0.625

Values from the calculation:
- Fermi-level density of states (states/eV/cell) = 17.90
- total magnetic moment (μB/cell) = 0.0
- E_form (meV per atom) = 459


Below is a relaxed structure of Al2ZnRu, with properties calculated at the PBE-GGA level.

a = 2.978 Å, b = 4.828 Å, c = 8.455 Å
α = 90.00°, β = 90.00°, γ = 90.00°
Space group Cmmm (No. 65)
Inequivalent atoms, fractional coordinates:
Al1 0.000 0.000 0.234
Zn1 0.000 0.500 0.500
Ru1 0.000 0.500 0.000

Values from the calculation:
- Fermi-level density of states (states/eV/cell) = 3.90
- total magnetic moment (μB/cell) = 0.0
- E_form (meV per atom) = -102


Below is a relaxed structure of CeSn2Bi, with properties calculated at the PBE-GGA level.

a = 3.3736 Å, b = 3.3736 Å, c = 36.8754 Å
α = 90.00°, β = 90.00°, γ = 120.00°
Space group R-3m (No. 166, hexagonal axes)
Inequivalent atoms, fractional coordinates:
Ce1 0.0000 0.0000 0.0000
Sn1 0.0000 0.0000 0.0877
Bi1 0.0000 0.0000 0.5000

Values from the calculation:
- Fermi-level density of states (states/eV/cell) = 21.55
- total magnetic moment (μB/cell) = 3.8
- E_form (meV per atom) = 206


Below is a relaxed structure of YScAl4, with properties calculated at the PBE-GGA level.

a = 7.737 Å, b = 7.737 Å, c = 7.737 Å
α = 90.00°, β = 90.00°, γ = 90.00°
Space group F-43m (No. 216)
Inequivalent atoms, fractional coordinates:
Y1 0.000 0.000 0.000
Sc1 0.250 0.250 0.750
Al1 0.125 0.125 0.375

Values from the calculation:
- Fermi-level density of states (states/eV/cell) = 16.53
- total magnetic moment (μB/cell) = 0.0
- E_form (meV per atom) = -505


Below is a relaxed structure of PuTeP, with properties calculated at the PBE-GGA level.

a = 4.193 Å, b = 3.985 Å, c = 8.643 Å
α = 90.00°, β = 94.33°, γ = 90.00°
Space group P2_1/m (No. 11)
Inequivalent atoms, fractional coordinates:
Pu1 0.211 0.250 0.232
Te1 0.262 0.250 0.630
P1 0.347 0.750 0.992

Values from the calculation:
- Fermi-level density of states (states/eV/cell) = 17.89
- total magnetic moment (μB/cell) = 9.5
- formation energy without anion corrections (kJ per mole of atoms) = -80.5


Below is a relaxed structure of Ta4CrCu, with properties calculated at the PBE-GGA level.

a = 7.622 Å, b = 7.622 Å, c = 7.622 Å
α = 90.00°, β = 90.00°, γ = 90.00°
Space group F-43m (No. 216)
Inequivalent atoms, fractional coordinates:
Ta1 0.124 0.124 0.376
Cr1 0.250 0.250 0.750
Cu1 0.000 0.000 0.000

Values from the calculation:
- Fermi-level density of states (states/eV/cell) = 23.36
- total magnetic moment (μB/cell) = 11.5
- E_form (meV per atom) = 698


Below is a relaxed structure of CuIrI3, with properties calculated at the PBE-GGA level.

a = 5.427 Å, b = 5.427 Å, c = 5.427 Å
α = 90.00°, β = 90.00°, γ = 90.00°
Space group Pm-3m (No. 221)
Inequivalent atoms, fractional coordinates:
Cu1 0.000 0.000 0.000
Ir1 0.500 0.500 0.500
I1 0.000 0.500 0.500

Values from the calculation:
- Fermi-level density of states (states/eV/cell) = 4.64
- total magnetic moment (μB/cell) = 0.0
- formation energy without anion corrections (kJ per mole of atoms) = 68.8


Below is a relaxed structure of Pm2Pr12Sc, with properties calculated at the PBE-GGA level.

a = 6.762 Å, b = 6.762 Å, c = 24.497 Å
α = 90.00°, β = 90.00°, γ = 90.00°
Space group P4/nbm (No. 125, origin choice 2)
Inequivalent atoms, fractional coordinates:
Pm1 0.250 0.750 0.244
Pr1 0.000 0.000 0.098
Pr2 0.083 0.583 0.436
Pr3 0.250 0.250 0.201
Pr4 0.250 0.250 0.329
Sc1 0.250 0.750 0.000

Values from the calculation:
- Fermi-level density of states (states/eV/cell) = 42.24
- total magnetic moment (μB/cell) = 0.0
- E_form (meV per atom) = 336


Below is a relaxed structure of Sr6TlZn, with properties calculated at the PBE-GGA level.

a = 5.805 Å, b = 5.805 Å, c = 20.559 Å
α = 90.00°, β = 90.00°, γ = 90.00°
Space group I4/mmm (No. 139)
Inequivalent atoms, fractional coordinates:
Sr1 0.000 0.000 0.249
Sr2 0.000 0.500 0.093
Tl1 0.000 0.000 0.000
Zn1 0.000 0.000 0.500

Values from the calculation:
- Fermi-level density of states (states/eV/cell) = 12.11
- total magnetic moment (μB/cell) = 0.0
- E_form (meV per atom) = -160


Below is a relaxed structure of YCdGe2Pd5, with properties calculated at the PBE-GGA level.

a = 4.244 Å, b = 4.244 Å, c = 8.985 Å
α = 90.00°, β = 90.00°, γ = 90.00°
Space group P4/mmm (No. 123)
Inequivalent atoms, fractional coordinates:
Y1 0.000 0.000 0.000
Cd1 0.000 0.000 0.500
Ge1 0.500 0.500 0.366
Pd1 0.000 0.500 0.229
Pd2 0.500 0.500 0.000

Values from the calculation:
- Fermi-level density of states (states/eV/cell) = 4.90
- total magnetic moment (μB/cell) = 0.0
- E_form (meV per atom) = -553


Below is a relaxed structure of Cs3Ti2Cl9, with properties calculated at the PBE-GGA level.

a = 12.8228 Å, b = 12.8228 Å, c = 18.7451 Å
α = 90.00°, β = 90.00°, γ = 120.00°
Space group R-3c (No. 167, hexagonal axes)
Inequivalent atoms, fractional coordinates:
Cs1 0.0000 0.3433 0.2500
Ti1 0.0000 0.0000 0.1666
Cl1 0.0000 0.1531 0.7500
Cl2 0.0023 0.1589 0.3996

Values from the calculation:
- Fermi-level density of states (states/eV/cell) = 54.99
- total magnetic moment (μB/cell) = 12.0
- formation energy without anion corrections (kJ per mole of atoms) = -176.3


Below is a relaxed structure of Rb2Co2Hg, with properties calculated at the PBE-GGA level.

a = 3.404 Å, b = 3.404 Å, c = 23.833 Å
α = 90.00°, β = 90.00°, γ = 90.00°
Space group I4/mmm (No. 139)
Inequivalent atoms, fractional coordinates:
Rb1 0.000 0.000 0.126
Co1 0.000 0.500 0.250
Hg1 0.000 0.000 0.500

Values from the calculation:
- Fermi-level density of states (states/eV/cell) = 7.89
- total magnetic moment (μB/cell) = 6.7
- E_form (meV per atom) = 512


Below is a relaxed structure of TbNdEr2S6, with properties calculated at the PBE-GGA level.

a = 6.9614 Å, b = 6.9614 Å, c = 18.4991 Å
α = 90.00°, β = 90.00°, γ = 120.00°
Space group R3 (No. 146, hexagonal axes)
Inequivalent atoms, fractional coordinates:
Tb1 0.0000 0.0000 0.0000
Nd1 0.0000 0.0000 0.5049
Er1 0.0000 0.0000 0.3005
Er2 0.0000 0.0000 0.7977
S1 0.0098 0.3077 0.3964
S2 0.0231 0.7167 0.8970

Values from the calculation:
- Fermi-level density of states (states/eV/cell) = 0.00
- total magnetic moment (μB/cell) = 0.0
- formation energy without anion corrections (kJ per mole of atoms) = -197.6


Below is a relaxed structure of La2Pr3H8, with properties calculated at the PBE-GGA level.

a = 6.656 Å, b = 3.777 Å, c = 9.378 Å
α = 90.00°, β = 110.74°, γ = 90.00°
Space group P2/m (No. 10)
Inequivalent atoms, fractional coordinates:
La1 0.238 0.000 0.292
Pr1 0.246 0.500 0.657
Pr2 0.500 0.000 0.000
H1 0.124 0.500 0.389
H2 0.164 0.000 0.786
H3 0.378 0.000 0.566
H4 0.397 0.500 0.156

Values from the calculation:
- total energy (eV per atom) = -4.366
- Fermi-level density of states (states/eV/cell) = 6.77
- total magnetic moment (μB/cell) = 0.0


Below is a relaxed structure of Ho2AlZn, with properties calculated at the PBE-GGA level.

a = 7.150 Å, b = 7.150 Å, c = 7.150 Å
α = 90.00°, β = 90.00°, γ = 90.00°
Space group Fm-3m (No. 225)
Inequivalent atoms, fractional coordinates:
Ho1 0.250 0.250 0.250
Al1 0.000 0.000 0.000
Zn1 0.000 0.000 0.500

Values from the calculation:
- Fermi-level density of states (states/eV/cell) = 11.66
- total magnetic moment (μB/cell) = 0.0
- E_form (meV per atom) = -376


Below is a relaxed structure of TbThGaRu, with properties calculated at the PBE-GGA level.

a = 7.144 Å, b = 7.144 Å, c = 7.144 Å
α = 90.00°, β = 90.00°, γ = 90.00°
Space group F-43m (No. 216)
Inequivalent atoms, fractional coordinates:
Tb1 0.000 0.000 0.000
Th1 0.000 0.000 0.500
Ga1 0.250 0.250 0.750
Ru1 0.250 0.250 0.250

Values from the calculation:
- Fermi-level density of states (states/eV/cell) = 12.86
- total magnetic moment (μB/cell) = 0.0
- E_form (meV per atom) = -370


Below is a relaxed structure of Pm2Ga4Fe, with properties calculated at the PBE-GGA level.

a = 4.496 Å, b = 4.496 Å, c = 15.084 Å
α = 90.00°, β = 90.00°, γ = 90.00°
Space group I4/mmm (No. 139)
Inequivalent atoms, fractional coordinates:
Pm1 0.000 0.000 0.147
Ga1 0.000 0.000 0.343
Ga2 0.000 0.500 0.000
Fe1 0.000 0.000 0.500

Values from the calculation:
- Fermi-level density of states (states/eV/cell) = 8.74
- total magnetic moment (μB/cell) = 0.0
- E_form (meV per atom) = -391


Below is a relaxed structure of Pt2Pb, with properties calculated at the PBE-GGA level.

a = 3.639 Å, b = 3.639 Å, c = 18.775 Å
α = 90.00°, β = 90.00°, γ = 90.00°
Space group I4_1/amd (No. 141, origin choice 2)
Inequivalent atoms, fractional coordinates:
Pt1 0.000 0.250 0.301
Pb1 0.000 0.250 0.875

Values from the calculation:
- Fermi-level density of states (states/eV/cell) = 9.46
- total magnetic moment (μB/cell) = 0.0
- E_form (meV per atom) = 117


Below is a relaxed structure of La2Al4GaPd3, with properties calculated at the PBE-GGA level.

a = 4.397 Å, b = 4.397 Å, c = 10.405 Å
α = 90.00°, β = 90.00°, γ = 90.00°
Space group P-4m2 (No. 115)
Inequivalent atoms, fractional coordinates:
La1 0.000 0.500 0.247
Al1 0.000 0.000 0.500
Al2 0.000 0.500 0.865
Al3 0.500 0.500 0.500
Ga1 0.500 0.500 0.000
Pd1 0.000 0.000 0.000
Pd2 0.000 0.500 0.625

Values from the calculation:
- Fermi-level density of states (states/eV/cell) = 6.93
- total magnetic moment (μB/cell) = 0.0
- E_form (meV per atom) = -798


Below is a relaxed structure of K2NaTl5Cd2, with properties calculated at the PBE-GGA level.

a = 11.880 Å, b = 11.880 Å, c = 4.562 Å
α = 90.00°, β = 90.00°, γ = 90.00°
Space group P4/mbm (No. 127)
Inequivalent atoms, fractional coordinates:
K1 0.173 0.327 0.000
Na1 0.000 0.000 0.000
Tl1 0.000 0.500 0.500
Tl2 0.063 0.803 0.500
Cd1 0.127 0.627 0.000

Values from the calculation:
- Fermi-level density of states (states/eV/cell) = 10.78
- total magnetic moment (μB/cell) = 0.0
- E_form (meV per atom) = -69